An optimized crystal structure of Rb2CuAgO2, computed with PBE.

Output
The total energy comes out at -3.85 eV/atom. The calculation puts the formation energy from raw total energies at -0.72 eV per atom.

Unit cell a=13.2834 b=7.7308 c=5.7128 alpha=90.00 beta=90.00 gamma=90.00
Space group Cmc2_1 (No. 36)
Unique sites:
Rb (0.1722, 0.1543, 0.0000) x8
Cu (0.0000, 0.2332, 0.5011) x4
Ag (0.0000, 0.4997, 0.2504) x4
O (0.1335, 0.2206, 0.5002) x8

***

An optimized crystal structure of RbCuAgO2, computed with PBE.

Output
The total energy comes out at -4.14 eV/atom. The density of states at the Fermi level is 0.7047 states/eV per atom. The calculation puts the formation energy from raw total energies at -0.58 eV per atom.

Unit cell a=6.6252 b=12.8567 c=4.4465 alpha=90.00 beta=90.00 gamma=90.00
Space group Cmme (No. 67)
Unique sites:
Rb (0.0000, 0.2500, 0.2505) x4
Cu (0.0000, 0.0000, 0.0000) x4
Ag (0.2500, 0.0000, 0.5000) x4
O (0.0000, 0.1037, 0.7303) x8

***

An optimized crystal structure of Rb6CuAgO4, computed with PBE.

Output
The total energy comes out at -3.66 eV/atom. The calculation puts the formation energy from raw total energies at -0.95 eV per atom.

Unit cell a=9.1673 b=9.1673 c=14.3855 alpha=90.00 beta=90.00 gamma=90.00
Space group P4_1 (No. 76)
Unique sites:
Rb (0.0219, 0.4716, 0.2462) x4
Rb (0.0337, 0.0653, 0.2469) x4
Rb (0.0547, 0.5532, 0.9991) x4
Rb (0.1459, 0.7637, 0.3853) x4
Rb (0.2664, 0.6751, 0.6034) x4
Rb (0.4411, 0.4663, 0.2500) x4
Cu (0.2360, 0.2628, 0.0833) x4
Ag (0.2376, 0.2638, 0.4138) x4
O (0.0365, 0.2625, 0.0822) x4
O (0.0406, 0.7656, 0.1705) x4
O (0.2379, 0.4874, 0.4137) x4
O (0.2654, 0.5655, 0.8308) x4

***

An optimized crystal structure of CuRe2AgO, computed with PBE.

Output
The total energy comes out at -4.45 eV/atom. The density of states at the Fermi level is 1.0047 states/eV per atom. The calculation puts the formation energy from raw total energies at 2.91 eV per atom.

Unit cell a=4.9997 b=4.9997 c=4.6117 alpha=90.00 beta=90.00 gamma=90.00
Space group P4/mmm (No. 123)
Unique sites:
Cu (0.0000, 0.0000, 0.0000) x1
Re (0.0000, 0.5000, 0.5000) x2
Ag (0.0000, 0.0000, 0.5000) x1
O (0.5000, 0.5000, 0.0000) x1